Entry from Alexandria: a PBEsol-optimized structure of CuSb (meta-GGA SCAN).

Cell and atoms, written as POSCAR:
```
CuSb
1.0
3.190 0.000 0.000
1.595 2.763 0.000
1.595 0.921 8.906
Cu Sb
2 2
direct
0.136 0.136 0.592
0.864 0.864 0.408
0.396 0.396 0.813
0.604 0.604 0.187
```

Summary:
- electronic total energy (eV/atom) = -25.8927
- crystal system = trigonal
- size of the total moment (μB/f.u.) = 0.000
- ρ (g/cm3) = 7.840
- space group = R-3m



Entry from Alexandria: a PBEsol-optimized structure of Re2Mo3C (meta-GGA SCAN).

Cell and atoms, written as POSCAR:
```
Re2Mo3C
1.0
-6.335 1.621 2.099
-2.114 0.194 -6.532
-1.601 -6.671 0.320
Re Mo C
8 12 4
direct
0.818 0.318 0.182
0.318 0.182 0.818
0.932 0.568 0.432
0.568 0.432 0.932
0.182 0.818 0.318
0.682 0.682 0.682
0.068 0.068 0.068
0.432 0.932 0.568
0.295 0.545 0.625
0.705 0.045 0.875
0.955 0.375 0.795
0.875 0.705 0.045
0.625 0.295 0.545
0.795 0.955 0.375
0.455 0.125 0.205
0.045 0.875 0.705
0.375 0.795 0.955
0.205 0.455 0.125
0.125 0.205 0.455
0.545 0.625 0.295
0.125 0.625 0.875
0.375 0.375 0.375
0.875 0.125 0.625
0.625 0.875 0.125
```

Summary:
- crystal system = cubic
- size of the total moment (μB/f.u.) = 0.000
- ΔE_f (eV/atom) = 0.008
- ρ (g/cm3) = 13.782
- space group = P4_132



Entry from Alexandria: a PBEsol-optimized structure of TlSi4Sb (meta-GGA SCAN).

Cell and atoms, written as POSCAR:
```
TlSi4Sb
1.0
5.411 0.000 0.000
2.705 4.686 0.000
2.705 1.562 4.418
Si Sb Tl
4 1 1
direct
0.375 0.375 0.375
0.874 0.375 0.375
0.375 0.874 0.375
0.375 0.375 0.874
0.000 0.000 0.000
0.750 0.750 0.750
```

Summary:
- electronic total energy (eV/atom) = -24.2230
- crystal system = cubic
- size of the total moment (μB/f.u.) = 0.000
- ρ (g/cm3) = 6.501
- space group = F-43m



Entry from Alexandria: a PBEsol-optimized structure of La2YSc (meta-GGA SCAN).

Cell and atoms, written as POSCAR:
```
La2YSc
1.0
-0.119 -0.549 -3.492
5.620 -0.862 1.736
-2.272 -5.542 0.949
La Sc Y
2 1 1
direct
0.745 0.490 0.743
0.255 0.510 0.257
0.000 0.000 0.500
0.500 0.000 0.000
```

Summary:
- crystal system = monoclinic
- size of the total moment (μB/f.u.) = 0.000
- ΔE_f (eV/atom) = 0.047
- ρ (g/cm3) = 5.713
- space group = C2/m



Entry from Alexandria: a PBEsol-optimized structure of GaSeS2Cl (meta-GGA SCAN).

Cell and atoms, written as POSCAR:
```
GaSeS2Cl
1.0
4.772 0.000 0.000
0.000 4.772 0.000
0.000 0.000 5.004
Se Cl Ga S
1 1 1 2
direct
0.000 0.000 0.000
0.000 0.000 0.500
0.500 0.500 0.500
0.500 0.000 0.000
0.000 0.500 0.000
```

Summary:
- electronic total energy (eV/atom) = -12.4855
- crystal system = tetragonal
- size of the total moment (μB/f.u.) = 0.000
- ρ (g/cm3) = 3.618
- space group = P4/mmm



Entry from Alexandria: a PBEsol-optimized structure of LaZn2In (meta-GGA SCAN).

Cell and atoms, written as POSCAR:
```
LaZn2In
1.0
4.341 0.000 0.000
2.170 3.759 0.000
2.170 1.253 5.614
Zn In La
2 1 1
direct
0.953 0.953 0.141
0.273 0.273 0.180
0.530 0.530 0.410
0.737 0.737 0.788
```

Summary:
- crystal system = trigonal
- size of the total moment (μB/f.u.) = 0.000
- ΔE_f (eV/atom) = -0.425
- ρ (g/cm3) = 6.970
- space group = R3m